Record 1
Here is a geometry-optimized SbAu2 structure from Alexandria. Energies are from PBE-GGA.

Properties
calculated total energy	-10.56	eV/f.u.
Fermi-level density of states	0.19	states/eV/atom

Cell: 4.6558 4.6558 4.6558 Å, 60.00 60.00 60.00°
With the nearest neighbours (Å) after each atom.
Fractional coordinates of all 3 atoms:
Sb (0.0000, 0.0000, 0.0000)  8 Au 2.85
Au (0.7500, 0.7500, 0.7500)  4 Sb 2.85
Au (0.2500, 0.2500, 0.2500)  4 Sb 2.85

Record 2
Here is a geometry-optimized LiCoBr structure from Alexandria. Energies are from PBE-GGA.

Properties
offset from the most stable computed form	0.071	eV per atom
Fermi-level density of states	0.84	states/eV/atom

Cell: 3.3354 3.3354 5.7344 Å, 90.00 90.00 120.00°
With the nearest neighbours (Å) after each atom.
Fractional coordinates of all 3 atoms:
Co (0.6667, 0.3333, 0.3061)  3 Br 2.53
Br (0.0000, 0.0000, 0.0210)  3 Co 2.53, 3 Li 2.77
Li (0.3333, 0.6667, 0.6729)  3 Br 2.77, 3 Co 2.85

Record 3
Here is a geometry-optimized Dy8GaCu2 structure from Alexandria. Energies are from PBE-GGA.

Properties
offset from the most stable computed form	0.000	eV per atom
Fermi-level density of states	0.84	states/eV/atom
E_form	-186	meV/atom

Cell: 5.0713 6.8187 9.1209 Å, 106.99 106.14 90.00°
With the nearest neighbours (Å) after each atom.
Fractional coordinates of all 11 atoms:
Dy (0.0323, 0.7819, 0.0645)  1 Cu 2.78, 2 Ga 3.08
Cu (0.1812, 0.7175, 0.3624)  3 Dy 2.73-2.78
Dy (0.9677, 0.2181, 0.9355)  1 Cu 2.78, 2 Ga 3.08
Ga (0.5000, 0.0000, 0.0000)  8 Dy 3.07-3.09
Dy (0.4066, 0.5360, 0.8131)  1 Ga 3.09, 2 Cu 3.19, 6 Dy 3.41-3.46
Dy (0.5934, 0.4640, 0.1869)  1 Ga 3.09, 2 Cu 3.19, 6 Dy 3.41-3.46
Dy (0.1971, 0.3269, 0.3941)  1 Cu 2.76
Dy (0.6734, 0.9867, 0.3468)  1 Cu 2.73
Cu (0.8188, 0.2825, 0.6376)  3 Dy 2.73-2.78
Dy (0.3266, 0.0133, 0.6532)  1 Cu 2.73
Dy (0.8029, 0.6731, 0.6059)  1 Cu 2.76

Record 4
Here is a geometry-optimized AsRu2Se structure from Alexandria. Energies are from PBE-GGA.

Properties
offset from the most stable computed form	0.000	eV per atom
Fermi-level density of states	0.62	states/eV/atom

Cell: 2.9698 2.9698 8.0201 Å, 90.00 90.00 90.00°
With the nearest neighbours (Å) after each atom.
Fractional coordinates of all 4 atoms:
Ru (0.5000, 0.5000, 0.2505)  4 Se 2.51
As (0.5000, 0.5000, 0.8259)  4 Ru 2.53
Se (0.0000, 0.0000, 0.4214)  4 Ru 2.51
Ru (0.0000, 0.0000, 0.0022)  4 As 2.53

Record 5
Here is a geometry-optimized Th4P2RuSe structure from Alexandria. Energies are from PBE-GGA.

Properties
calculated total energy	-63.22	eV/f.u.
Fermi-level density of states	0.68	states/eV/atom

Cell: 4.0972 7.2518 7.2776 Å, 71.07 90.00 90.00°
With the nearest neighbours (Å) after each atom.
Fractional coordinates of all 8 atoms:
Th (0.5000, 0.2551, 0.7357)  2 Ru 2.88, 3 P 2.90-3.00, 1 Se 3.01
Ru (0.0000, 0.5000, 0.5000)  6 Th 2.88-2.93
P (0.5000, 0.0000, 0.5000)  6 Th 2.87-2.90
Th (0.0000, 0.7592, 0.7365)  3 P 2.87-2.98, 1 Ru 2.93, 2 Se 3.01
P (0.0000, 0.0000, 0.0000)  6 Th 2.98-3.00
Se (0.5000, 0.5000, 0.0000)  6 Th 3.01
Th (0.0000, 0.2408, 0.2635)  3 P 2.87-2.98, 1 Ru 2.93, 2 Se 3.01
Th (0.5000, 0.7449, 0.2643)  2 Ru 2.88, 3 P 2.90-3.00, 1 Se 3.01

Record 6
Here is a geometry-optimized Ce3NiSn3 structure from Alexandria. Energies are from PBE-GGA.

Properties
Fermi-level density of states	2.56	states/eV/atom
E_form	-565	meV/atom

Cell: 4.5148 6.1172 14.5365 Å, 85.14 81.07 68.34°
With the nearest neighbours (Å) after each atom.
Fractional coordinates of all 14 atoms:
Ce (0.4797, 0.6555, 0.3850)  3 Ni 3.18-3.37, 7 Sn 3.18-3.48
Sn (0.1300, 0.8173, 0.9226)  2 Sn 3.07-3.09, 7 Ce 3.12-3.42
Sn (0.8700, 0.1827, 0.0774)  2 Sn 3.07-3.09, 7 Ce 3.12-3.42
Ce (0.5203, 0.3445, 0.6150)  3 Ni 3.18-3.37, 7 Sn 3.18-3.48
Sn (0.8445, 0.7730, 0.5380)  3 Ni 2.61-2.79
Ni (0.7581, 0.0959, 0.3880)  4 Sn 2.61-2.79
Sn (0.9669, 0.8243, 0.2418)  1 Ni 2.64
Ni (0.2419, 0.9041, 0.6120)  4 Sn 2.61-2.79
Ce (0.4059, 0.2690, 0.9193)  7 Sn 3.12-3.42
Sn (0.1555, 0.2270, 0.4620)  3 Ni 2.61-2.79
Ce (0.5941, 0.7310, 0.0807)  7 Sn 3.12-3.42
Ce (0.7441, 0.7506, 0.7612)  6 Sn 3.20-3.31, 2 Ni 3.21
Ce (0.2559, 0.2494, 0.2388)  6 Sn 3.20-3.31, 2 Ni 3.21
Sn (0.0331, 0.1757, 0.7582)  1 Ni 2.64